## TlOsPb2 (PBE)

Data for TlOsPb2 after structural relaxation.

Unit cell a=7.590 b=7.590 c=4.638 alpha=72.18 beta=72.18 gamma=24.73
Fractional coordinates of all 4 atoms:
Tl1 0.569 0.569 0.431
Pb1 0.927 0.927 0.072
Pb2 0.746 0.746 0.754
Os1 0.257 0.257 0.243

E_tot (Ry/atom): -0.34351
Space group: Imm2 (44)
Calculated volume (A^3/atom): 26.53
ΔE_f (eV per atom): 0.580
Energy relative to the lowest polymorph listed for this composition (meV/atom): 109

=====

## ThGaC (PBE)

Data for ThGaC after structural relaxation.

Unit cell a=3.813 b=3.813 c=9.113 alpha=102.08 beta=102.08 gamma=90.00
Fractional coordinates of all 6 atoms:
Ga1 0.931 0.931 0.862
Ga2 0.069 0.069 0.138
C1 0.185 0.185 0.370
C2 0.815 0.815 0.630
Th1 0.676 0.676 0.353
Th2 0.324 0.324 0.647

E_tot (Ry/atom): -0.48975
Space group: I4/mmm (139)
Calculated volume (A^3/atom): 21.10
ΔE_f (eV per atom): -0.107